InAgPO: optimized geometry, PBE.

Values from the calculation:
Relative energy among the computed polymorphs in eV/f.u.: 0.35
V in Å³/atom: 17.15
Density in g/cm3: 6.5

Cell: 3.938 3.938 8.845 Å, 90.00 90.00 90.00°
Atoms (fractional coordinates):
In 0.250 0.250 0.115
In 0.750 0.750 0.885
Ag 0.250 0.750 0.500
Ag 0.750 0.250 0.500
P 0.250 0.250 0.690
P 0.750 0.750 0.310
O 0.250 0.750 0.000
O 0.750 0.250 0.000